Record 1
# Na5B8C2, optimized geometry, DFT PBE
data_Na5B8C2
_cell_length_a 14.595
_cell_length_b 5.125
_cell_length_c 10.429
_cell_angle_alpha 90.00
_cell_angle_beta 123.99
_cell_angle_gamma 90.00
_space_group_name_H-M_alt 'C 1 2 1'
_space_group_IT_number 5
loop_
_space_group_symop_operation_xyz
'x,y,z'
'-x,y,-z'
'x+1/2,y+1/2,z'
'-x+1/2,y+1/2,-z'
loop_
_atom_site_label
_atom_site_fract_x
_atom_site_fract_y
_atom_site_fract_z
Na1 0.000 0.000 0.250
Na2 0.100 0.501 0.250
Na3 0.101 0.497 0.751
Na4 0.200 0.000 0.250
Na5 0.200 0.000 0.749
B1 0.000 0.176 0.000
B2 0.000 0.176 0.500
B3 0.000 0.828 0.000
B4 0.000 0.843 0.500
B5 0.098 0.637 0.501
B6 0.101 0.666 0.000
B7 0.108 0.319 0.999
B8 0.195 0.174 0.500
B9 0.198 0.839 0.501
B10 0.206 0.840 0.000
C1 0.098 0.333 0.501
C2 0.202 0.160 0.999
# **Total DFT energy (no corrections)**: -301.7 eV for the cell shown
# **ΔE to the lowest computed polymorph**: 33 meV/atom
# **ΔE_f**: 19.6 kJ/mol of atoms

Record 2
# Na2B3C, optimized geometry, DFT PBE
data_Na2B3C
_cell_length_a 8.633
_cell_length_b 2.812
_cell_length_c 26.124
_cell_angle_alpha 90.00
_cell_angle_beta 90.00
_cell_angle_gamma 90.00
_space_group_name_H-M_alt 'A m m 2'
_space_group_IT_number 38
loop_
_space_group_symop_operation_xyz
'x,y,z'
'-x,-y,z'
'-x,y,z'
'x,-y,z'
'x,y+1/2,z+1/2'
'-x,-y+1/2,z+1/2'
'-x,y+1/2,z+1/2'
'x,-y+1/2,z+1/2'
loop_
_atom_site_label
_atom_site_fract_x
_atom_site_fract_y
_atom_site_fract_z
Na1 0.247 0.000 0.000
Na2 0.249 0.000 0.399
Na3 0.249 0.000 0.599
Na4 0.251 0.000 0.197
Na5 0.253 0.000 0.797
B1 0.000 0.000 0.135
B2 0.000 0.000 0.320
B3 0.000 0.000 0.472
B4 0.000 0.000 0.540
B5 0.000 0.000 0.728
B6 0.000 0.000 0.864
B7 0.000 0.000 0.929
B8 0.500 0.000 0.066
B9 0.500 0.000 0.264
B10 0.500 0.000 0.328
B11 0.500 0.000 0.476
B12 0.500 0.000 0.657
B13 0.500 0.000 0.724
B14 0.500 0.000 0.871
B15 0.500 0.000 0.934
C1 0.000 0.000 0.071
C2 0.000 0.000 0.260
C3 0.000 0.000 0.666
C4 0.500 0.000 0.127
C5 0.500 0.000 0.535
# **Total DFT energy (no corrections)**: -310.0 eV for the cell shown
# **ΔE to the lowest computed polymorph**: 16 meV/atom
# **ΔE_f**: 14.4 kJ/mol of atoms

Record 3
# NaBC, optimized geometry, DFT PBE
data_NaBC
_cell_length_a 2.797
_cell_length_b 4.569
_cell_length_c 7.806
_cell_angle_alpha 103.31
_cell_angle_beta 99.79
_cell_angle_gamma 90.01
_space_group_name_H-M_alt 'P 1'
_space_group_IT_number 1
loop_
_space_group_symop_operation_xyz
'x,y,z'
loop_
_atom_site_label
_atom_site_fract_x
_atom_site_fract_y
_atom_site_fract_z
Na1 0.000 0.000 0.000
Na2 0.270 0.341 0.571
B1 0.126 0.494 0.268
B2 0.642 0.999 0.300
C1 0.143 0.846 0.303
C2 0.627 0.333 0.269
# **Total DFT energy (no corrections)**: -33.7 eV for the cell shown
# **ΔE_f**: 12.1 kJ/mol of atoms

Record 4
# Na5B8C2, optimized geometry, DFT PBE
data_Na5B8C2
_cell_length_a 2.814
_cell_length_b 26.448
_cell_length_c 8.659
_cell_angle_alpha 90.00
_cell_angle_beta 90.00
_cell_angle_gamma 90.00
_space_group_name_H-M_alt 'C m c m'
_space_group_IT_number 63
_space_group_name_Hall '-C 2c 2'
loop_
_atom_site_label
_atom_site_fract_x
_atom_site_fract_y
_atom_site_fract_z
Na1 0.000 0.000 0.000
Na2 0.000 0.201 0.001
Na3 0.000 0.399 0.000
B1 0.000 0.073 0.750
B2 0.000 0.074 0.250
B3 0.000 0.136 0.750
B4 0.000 0.141 0.250
B5 0.000 0.267 0.750
B6 0.000 0.323 0.250
B7 0.000 0.466 0.750
B8 0.000 0.470 0.250
C1 0.000 0.263 0.250
C2 0.000 0.328 0.750
# **Total DFT energy (no corrections)**: -303.4 eV for the cell shown
# **ΔE to the lowest computed polymorph**: 4 meV/atom
# **ΔE_f**: 16.9 kJ/mol of atoms

Record 5
# Na5B8C2, optimized geometry, DFT PBE
data_Na5B8C2
_cell_length_a 18.130
_cell_length_b 2.819
_cell_length_c 13.672
_cell_angle_alpha 90.00
_cell_angle_beta 112.54
_cell_angle_gamma 90.00
_space_group_name_H-M_alt 'C 1 2/m 1'
_space_group_IT_number 12
loop_
_space_group_symop_operation_xyz
'x,y,z'
'-x,-y,-z'
'-x,y,-z'
'x,-y,z'
'x+1/2,y+1/2,z'
'-x+1/2,-y+1/2,-z'
'-x+1/2,y+1/2,-z'
'x+1/2,-y+1/2,z'
loop_
_atom_site_label
_atom_site_fract_x
_atom_site_fract_y
_atom_site_fract_z
Na1 0.000 0.000 0.000
Na2 0.000 0.000 0.500
Na3 0.099 0.500 0.199
Na4 0.100 0.500 0.699
Na5 0.200 0.000 0.400
Na6 0.200 0.000 0.899
B1 0.033 0.000 0.815
B2 0.058 0.500 0.367
B3 0.122 0.500 0.995
B4 0.125 0.500 0.501
B5 0.164 0.000 0.078
B6 0.165 0.000 0.582
B7 0.227 0.000 0.204
B8 0.230 0.000 0.710
C1 0.028 0.000 0.307
C2 0.063 0.500 0.878
# **Total DFT energy (no corrections)**: -303.4 eV for the cell shown
# **ΔE to the lowest computed polymorph**: 4 meV/atom
# **ΔE_f**: 16.8 kJ/mol of atoms

Record 6
# Na5B9C, optimized geometry, DFT PBE
data_Na5B9C
_cell_length_a 14.946
_cell_length_b 5.181
_cell_length_c 10.515
_cell_angle_alpha 90.00
_cell_angle_beta 124.72
_cell_angle_gamma 90.00
_space_group_name_H-M_alt 'C 1 2 1'
_space_group_IT_number 5
loop_
_space_group_symop_operation_xyz
'x,y,z'
'-x,y,-z'
'x+1/2,y+1/2,z'
'-x+1/2,y+1/2,-z'
loop_
_atom_site_label
_atom_site_fract_x
_atom_site_fract_y
_atom_site_fract_z
Na1 0.000 0.000 0.249
Na2 0.100 0.500 0.751
Na3 0.101 0.498 0.253
Na4 0.200 0.000 0.250
Na5 0.200 0.000 0.751
B1 0.000 0.170 0.500
B2 0.000 0.175 0.000
B3 0.000 0.828 0.500
B4 0.000 0.842 0.000
B5 0.097 0.637 0.000
B6 0.100 0.328 0.500
B7 0.100 0.670 0.500
B8 0.194 0.174 0.000
B9 0.200 0.170 0.500
B10 0.200 0.829 0.500
B11 0.200 0.839 0.000
C1 0.097 0.334 0.000
# **Total DFT energy (no corrections)**: -288.0 eV for the cell shown
# **ΔE to the lowest computed polymorph**: 24 meV/atom
# **ΔE_f**: 25.1 kJ/mol of atoms

Record 7
# Na2B3C, optimized geometry, DFT PBE
data_Na2B3C
_cell_length_a 23.120
_cell_length_b 2.847
_cell_length_c 10.032
_cell_angle_alpha 90.00
_cell_angle_beta 106.56
_cell_angle_gamma 90.00
_space_group_name_H-M_alt 'C 1 m 1'
_space_group_IT_number 8
loop_
_space_group_symop_operation_xyz
'x,y,z'
'x,-y,z'
'x+1/2,y+1/2,z'
'x+1/2,-y+1/2,z'
loop_
_atom_site_label
_atom_site_fract_x
_atom_site_fract_y
_atom_site_fract_z
Na1 0.000 0.000 0.000
Na2 0.000 0.500 0.498
Na3 0.100 0.000 0.698
Na4 0.100 0.500 0.197
Na5 0.199 0.500 0.901
Na6 0.200 0.000 0.397
Na7 0.300 0.000 0.102
Na8 0.301 0.500 0.597
Na9 0.400 0.500 0.301
Na10 0.402 0.000 0.798
B1 0.020 0.000 0.289
B2 0.077 0.500 0.902
B3 0.112 0.500 0.472
B4 0.117 0.000 0.983
B5 0.178 0.500 0.604
B6 0.186 0.000 0.121
B7 0.219 0.000 0.687
B8 0.280 0.500 0.308
B9 0.283 0.000 0.815
B10 0.320 0.000 0.387
B11 0.325 0.500 0.898
B12 0.389 0.000 0.527
B13 0.415 0.000 0.079
B14 0.482 0.000 0.213
B15 0.484 0.500 0.715
C1 0.015 0.500 0.778
C2 0.082 0.000 0.412
C3 0.217 0.500 0.184
C4 0.385 0.500 0.016
C5 0.420 0.500 0.589
# **Total DFT energy (no corrections)**: -309.7 eV for the cell shown
# **ΔE to the lowest computed polymorph**: 20 meV/atom
# **ΔE_f**: 14.8 kJ/mol of atoms

Record 8
# Na5B9C, optimized geometry, DFT PBE
data_Na5B9C
_cell_length_a 18.299
_cell_length_b 2.805
_cell_length_c 13.964
_cell_angle_alpha 90.00
_cell_angle_beta 111.61
_cell_angle_gamma 90.00
_space_group_name_H-M_alt 'C 1 2/m 1'
_space_group_IT_number 12
loop_
_space_group_symop_operation_xyz
'x,y,z'
'-x,-y,-z'
'-x,y,-z'
'x,-y,z'
'x+1/2,y+1/2,z'
'-x+1/2,-y+1/2,-z'
'-x+1/2,y+1/2,-z'
'x+1/2,-y+1/2,z'
loop_
_atom_site_label
_atom_site_fract_x
_atom_site_fract_y
_atom_site_fract_z
Na1 0.000 0.000 0.000
Na2 0.000 0.000 0.500
Na3 0.100 0.500 0.198
Na4 0.100 0.500 0.702
Na5 0.199 0.000 0.398
Na6 0.201 0.000 0.901
B1 0.028 0.000 0.304
B2 0.033 0.000 0.819
B3 0.069 0.500 0.387
B4 0.074 0.500 0.900
B5 0.130 0.500 0.510
B6 0.163 0.000 0.074
B7 0.171 0.000 0.593
B8 0.227 0.000 0.202
B9 0.233 0.000 0.718
C1 0.132 0.500 0.014
# **Total DFT energy (no corrections)**: -289.2 eV for the cell shown
# **ΔE to the lowest computed polymorph**: 5 meV/atom
# **ΔE_f**: 23.3 kJ/mol of atoms